1.
A plane-wave DFT calculation with PBE was carried out for a geometry-optimized NaCdGePd structure.

Cell lengths 4.4226, 4.4226, 14.2977 Å; angles 90.00, 90.00, 120.00 degrees
Space group R3m (No. 160, hexagonal axes)
One atom of each set of equivalent atoms:
1 Na 0.0000 0.0000 0.0000 [3 per cell]
2 Cd 0.0000 0.0000 0.2217 [3 per cell]
3 Ge 0.0000 0.0000 0.7806 [3 per cell]
4 Pd 0.0000 0.0000 0.4532 [3 per cell]

Energy of formation from the pure elements ... -198 meV/atom
Density of states at the Fermi level ... 0.427 states/eV/atom



2.
A plane-wave DFT calculation with PBE was carried out for a geometry-optimized NaCdGePd structure.

Cell lengths 6.6433, 6.6433, 6.6433 Å; angles 90.00, 90.00, 90.00 degrees
Space group F-43m (No. 216)
One atom of each set of equivalent atoms:
1 Na 0.0000 0.0000 0.0000 [4 per cell]
2 Cd 0.2500 0.2500 0.7500 [4 per cell]
3 Ge 0.2500 0.2500 0.2500 [4 per cell]
4 Pd 0.0000 0.0000 0.5000 [4 per cell]

Energy of formation from the pure elements ... -162 meV/atom
Density of states at the Fermi level ... 0.500 states/eV/atom



3.
A plane-wave DFT calculation with PBE was carried out for a geometry-optimized NaPmCdGe structure.

Cell lengths 7.3153, 7.3153, 7.3153 Å; angles 90.00, 90.00, 90.00 degrees
Space group F-43m (No. 216)
One atom of each set of equivalent atoms:
1 Na 0.0000 0.0000 0.0000 [4 per cell]
2 Pm 0.0000 0.0000 0.5000 [4 per cell]
3 Cd 0.2500 0.2500 0.7500 [4 per cell]
4 Ge 0.2500 0.2500 0.2500 [4 per cell]

Energy of formation from the pure elements ... -312 meV/atom
Density of states at the Fermi level ... 0.344 states/eV/atom



4.
A plane-wave DFT calculation with PBE was carried out for a geometry-optimized NaPrCdGe structure.

Cell lengths 7.3856, 7.3856, 7.3856 Å; angles 90.00, 90.00, 90.00 degrees
Space group F-43m (No. 216)
One atom of each set of equivalent atoms:
1 Na 0.0000 0.0000 0.0000 [4 per cell]
2 Pr 0.0000 0.0000 0.5000 [4 per cell]
3 Cd 0.2500 0.2500 0.2500 [4 per cell]
4 Ge 0.2500 0.2500 0.7500 [4 per cell]

Energy of formation from the pure elements ... -314 meV/atom
Density of states at the Fermi level ... 0.339 states/eV/atom



5.
A plane-wave DFT calculation with PBE was carried out for a geometry-optimized NaCd2GePt structure.

Cell lengths 5.2977, 5.2977, 4.7358 Å; angles 90.00, 90.00, 90.00 degrees
Space group P4/mmm (No. 123)
One atom of each set of equivalent atoms:
1 Na 0.0000 0.0000 0.0000 [1 per cell]
2 Cd 0.0000 0.5000 0.5000 [2 per cell]
3 Ge 0.5000 0.5000 0.0000 [1 per cell]
4 Pt 0.5000 0.5000 0.5000 [1 per cell]

Energy of formation from the pure elements ... -128 meV/atom
Density of states at the Fermi level ... 0.489 states/eV/atom



6.
A plane-wave DFT calculation with PBE was carried out for a geometry-optimized NaCdGePt2 structure.

Cell lengths 4.2938, 4.1665, 5.9038 Å; angles 90.00, 110.72, 90.00 degrees
Space group Pm (No. 6)
One atom of each set of equivalent atoms:
1 Na 0.0000 0.0000 0.0000 [1 per cell]
2 Cd 0.4665 0.5000 0.9316 [1 per cell]
3 Ge 0.6769 0.0000 0.3546 [1 per cell]
4 Pt 0.2902 0.0000 0.5839 [1 per cell]
5 Pt 0.8036 0.5000 0.5976 [1 per cell]

Energy of formation from the pure elements ... -222 meV/atom
Density of states at the Fermi level ... 0.519 states/eV/atom



7.
A plane-wave DFT calculation with PBE was carried out for a geometry-optimized Na2CdGe2Pt5 structure.

Cell lengths 9.6123, 9.6123, 3.7846 Å; angles 90.00, 90.00, 90.00 degrees
Space group P4/mbm (No. 127)
One atom of each set of equivalent atoms:
1 Na 0.1720 0.3280 0.0000 [4 per cell]
2 Cd 0.0000 0.0000 0.0000 [2 per cell]
3 Ge 0.1281 0.6281 0.0000 [4 per cell]
4 Pt 0.0000 0.5000 0.5000 [2 per cell]
5 Pt 0.0690 0.7933 0.5000 [8 per cell]

Energy of formation from the pure elements ... -385 meV/atom
Density of states at the Fermi level ... 0.257 states/eV/atom



8.
A plane-wave DFT calculation with PBE was carried out for a geometry-optimized RbNaCd2Ge structure.

Cell lengths 5.5376, 5.5376, 5.7010 Å; angles 90.00, 90.00, 90.00 degrees
Space group P4/mmm (No. 123)
One atom of each set of equivalent atoms:
1 Rb 0.0000 0.0000 0.0000 [1 per cell]
2 Na 0.5000 0.5000 0.0000 [1 per cell]
3 Cd 0.0000 0.5000 0.5000 [2 per cell]
4 Ge 0.5000 0.5000 0.5000 [1 per cell]

Energy of formation from the pure elements ... 50 meV/atom
Density of states at the Fermi level ... 0.809 states/eV/atom



9.
A plane-wave DFT calculation with PBE was carried out for a geometry-optimized Rb2Na5CdGe structure.

Cell lengths 7.4401, 7.4401, 12.9088 Å; angles 90.00, 90.00, 90.00 degrees
Space group I4mm (No. 107)
One atom of each set of equivalent atoms:
1 Rb 0.0000 0.5000 0.0000 [4 per cell]
2 Na 0.0000 0.0000 0.3870 [2 per cell]
3 Na 0.2364 0.2364 0.7328 [8 per cell]
4 Cd 0.0000 0.0000 0.9182 [2 per cell]
5 Ge 0.0000 0.0000 0.1320 [2 per cell]

Energy of formation from the pure elements ... 23 meV/atom
Density of states at the Fermi level ... 0.467 states/eV/atom



10.
A plane-wave DFT calculation with PBE was carried out for a geometry-optimized RbNaCdGe structure.

Cell lengths 8.2522, 4.7669, 7.8746 Å; angles 90.00, 90.17, 90.00 degrees
Space group Cm (No. 8)
One atom of each set of equivalent atoms:
1 Rb 0.0000 0.0000 0.0000 [2 per cell]
2 Na 0.0012 0.0000 0.5075 [2 per cell]
3 Cd 0.3343 0.0000 0.3241 [2 per cell]
4 Ge 0.1677 0.5000 0.3141 [2 per cell]

Energy of formation from the pure elements ... -59 meV/atom
Density of states at the Fermi level ... 0.256 states/eV/atom



11.
A plane-wave DFT calculation with PBE was carried out for a geometry-optimized RbNa2CdGe structure.

Cell lengths 5.8288, 5.8288, 5.3548 Å; angles 90.00, 90.00, 90.00 degrees
Space group P4/mmm (No. 123)
One atom of each set of equivalent atoms:
1 Rb 0.0000 0.0000 0.0000 [1 per cell]
2 Na 0.0000 0.5000 0.5000 [2 per cell]
3 Cd 0.5000 0.5000 0.0000 [1 per cell]
4 Ge 0.5000 0.5000 0.5000 [1 per cell]

Energy of formation from the pure elements ... -16 meV/atom
Density of states at the Fermi level ... 0.357 states/eV/atom



12.
A plane-wave DFT calculation with PBE was carried out for a geometry-optimized Na2CdGeRu structure.

Cell lengths 5.3851, 5.3851, 4.6316 Å; angles 90.00, 90.00, 90.00 degrees
Space group P4/mmm (No. 123)
One atom of each set of equivalent atoms:
1 Na 0.0000 0.5000 0.0000 [2 per cell]
2 Cd 0.0000 0.0000 0.5000 [1 per cell]
3 Ge 0.5000 0.5000 0.0000 [1 per cell]
4 Ru 0.5000 0.5000 0.5000 [1 per cell]

Energy of formation from the pure elements ... 535 meV/atom
Density of states at the Fermi level ... 0.999 states/eV/atom